1.
VASP calculation (PBE) on crystalline LaPrC4 at its relaxed geometry.

Structure (CIF):
```
data_LaPrC4
_chemical_formula_sum 'La2 Pr2 C8'
_cell_length_a 7.6190
_cell_length_b 3.9171
_cell_length_c 7.6332
_cell_angle_alpha 90.00
_cell_angle_beta 118.18
_cell_angle_gamma 90.00
_space_group_name_H-M_alt 'C 1 2/m 1'
_space_group_IT_number 12
loop_
_space_group_symop_operation_xyz
'x,y,z'
'-x,-y,-z'
'-x,y,-z'
'x,-y,z'
'x+1/2,y+1/2,z'
'-x+1/2,-y+1/2,-z'
'-x+1/2,y+1/2,-z'
'x+1/2,-y+1/2,z'
loop_
_atom_site_label
_atom_site_type_symbol
_atom_site_fract_x
_atom_site_fract_y
_atom_site_fract_z
La1 La 0.0000 0.0000 0.0000
Pr1 Pr 0.0000 0.5000 0.5000
C1 C 0.1985 0.0000 0.7958
C2 C 0.2026 0.5000 0.3035
```

Results
E_form (meV/atom): -131
ρ (Mg/m³): 5.4
Total DFT energy (no corrections) (eV/atom): -7.8985
Magnetization (μB per cell): 0.00

***

2.
VASP calculation (PBE) on crystalline ZrOsPt2 at its relaxed geometry.

Structure (CIF):
```
data_ZrOsPt2
_chemical_formula_sum 'Zr2 Os2 Pt4'
_cell_length_a 4.0470
_cell_length_b 4.0470
_cell_length_c 8.0413
_cell_angle_alpha 90.00
_cell_angle_beta 90.00
_cell_angle_gamma 90.00
_space_group_name_H-M_alt 'I -4 m 2'
_space_group_IT_number 119
_space_group_name_Hall 'I -4 -2'
loop_
_atom_site_label
_atom_site_type_symbol
_atom_site_fract_x
_atom_site_fract_y
_atom_site_fract_z
Zr1 Zr 0.0000 0.0000 0.0000
Os1 Os 0.0000 0.5000 0.7500
Pt1 Pt 0.0000 0.0000 0.5000
Pt2 Pt 0.0000 0.5000 0.2500
```

Results
E_form (meV/atom): -463
ρ (Mg/m³): 16.9
Total DFT energy (no corrections) (eV/atom): -8.4281
Magnetization (μB per cell): 0.00

***

3.
VASP calculation (PBE) on crystalline CaTlCr2 at its relaxed geometry.

Structure (CIF):
```
data_CaTlCr2
_chemical_formula_sum 'Ca2 Tl2 Cr4'
_cell_length_a 3.7847
_cell_length_b 4.2726
_cell_length_c 9.2640
_cell_angle_alpha 90.00
_cell_angle_beta 90.00
_cell_angle_gamma 90.00
_space_group_name_H-M_alt 'C m m m'
_space_group_IT_number 65
_space_group_name_Hall '-C 2 2'
loop_
_atom_site_label
_atom_site_type_symbol
_atom_site_fract_x
_atom_site_fract_y
_atom_site_fract_z
Ca1 Ca 0.0000 0.0000 0.0000
Tl1 Tl 0.0000 0.0000 0.5000
Cr1 Cr 0.0000 0.5000 0.2687
```

Results
E_form (meV/atom): 1188
ρ (Mg/m³): 7.7
Total DFT energy (no corrections) (eV/atom): -4.7157
Magnetization (μB per cell): 0.00

***

4.
VASP calculation (PBE) on crystalline BaVBr2 at its relaxed geometry.

Structure (CIF):
```
data_BaVBr2
_chemical_formula_sum 'Ba4 V4 Br8'
_cell_length_a 5.7919
_cell_length_b 5.7919
_cell_length_c 17.0024
_cell_angle_alpha 90.00
_cell_angle_beta 90.00
_cell_angle_gamma 90.00
_space_group_name_H-M_alt 'I -4 2 d'
_space_group_IT_number 122
_space_group_name_Hall 'I -4 2bw'
loop_
_atom_site_label
_atom_site_type_symbol
_atom_site_fract_x
_atom_site_fract_y
_atom_site_fract_z
Ba1 Ba 0.0000 0.0000 0.0000
V1 V 0.0000 0.0000 0.5000
Br1 Br 0.1737 0.2500 0.6250
```

Results
ρ (Mg/m³): 4.1
Uncorrected formation energy (meV/atom): -576
Total DFT energy (no corrections) (eV/atom): -4.1731
Magnetization (μB per cell): 19.39